[1]
Entry from Alexandria: a crystal of ScSn3 relaxed with PBEsol (meta-GGA SCAN).

```
4
Lattice="-2.154 2.154 5.083 2.154 -2.154 5.083 2.154 2.154 -5.083" Properties=species:S:1:pos:R:3 pbc="T T T"
Sc 0.000 0.000 0.000
Sn 2.154 0.000 2.541
Sn 0.000 0.000 5.083
Sn 0.000 2.154 2.541
```

Properties
Theoretical density   7.1 g/cm3
Symmetry   No. 139
Volume   23.592 Å³ per atom
E_tot   -30.78 eV per atom
Magnetic moment   0.00 μB/cell


[2]
Entry from Alexandria: a crystal of SrSbHW2 relaxed with PBEsol (meta-GGA SCAN).

```
5
Lattice="4.099 0.000 0.000 0.000 4.099 0.000 0.000 0.000 5.111" Properties=species:S:1:pos:R:3 pbc="T T T"
Sr 0.000 0.000 0.000
Sb 2.049 2.049 0.000
H 2.049 2.049 2.556
W 0.000 2.049 2.556
W 2.049 0.000 2.556
```

Properties
Theoretical density   11.2 g/cm3
Symmetry   No. 123
Volume   17.175 Å³ per atom
E_tot   -39.56 eV per atom
Magnetic moment   0.00 μB/cell


[3]
Entry from Alexandria: a crystal of YSc2 relaxed with PBEsol (meta-GGA SCAN).

```
3
Lattice="-1.664 2.320 4.978 1.664 -2.320 4.978 1.664 2.320 -4.978" Properties=species:S:1:pos:R:3 pbc="T T T"
Y 0.000 0.000 0.000
Sc 0.000 0.000 3.281
Sc 0.000 0.000 6.674
```

Properties
Theoretical density   3.9 g/cm3
Symmetry   No. 71
Volume   25.610 Å³ per atom
E above lowest polymorph   55 meV per atom
Magnetic moment   0.16 μB/cell


[4]
Entry from Alexandria: a crystal of AlCdTe2 relaxed with PBEsol (meta-GGA SCAN).

```
4
Lattice="0.000 3.641 3.641 3.641 0.000 3.641 3.641 3.641 0.000" Properties=species:S:1:pos:R:3 pbc="T T T"
Al 0.000 0.000 0.000
Cd 3.641 3.641 3.641
Te 1.820 1.820 1.820
Te 5.461 5.461 5.461
```

Properties
Theoretical density   6.8 g/cm3
Symmetry   No. 225
ΔE_f (raw)   3.2 kcal/mol of atoms
Volume   24.131 Å³ per atom
E above lowest polymorph   258 meV per atom
Magnetic moment   0.00 μB/cell


[5]
Entry from Alexandria: a crystal of BaCo2Re relaxed with PBEsol (meta-GGA SCAN).

```
4
Lattice="3.022 0.000 0.000 0.000 3.022 0.000 0.000 0.000 7.616" Properties=species:S:1:pos:R:3 pbc="T T T"
Ba 0.000 0.000 0.000
Co 0.000 0.000 3.648
Co 1.511 1.511 2.526
Re 1.511 1.511 4.914
```

Properties
Theoretical density   10.5 g/cm3
Symmetry   No. 99
Volume   17.385 Å³ per atom
E above lowest polymorph   411 meV per atom
Magnetic moment   3.27 μB/cell


[6]
Entry from Alexandria: a crystal of Sc2MnAu relaxed with PBEsol (meta-GGA SCAN).

```
4
Lattice="-1.989 1.989 4.466 1.989 -1.989 4.466 1.989 1.989 -4.466" Properties=species:S:1:pos:R:3 pbc="T T T"
Sc 0.000 0.000 0.000
Sc 0.000 1.989 2.233
Mn 1.989 0.000 2.233
Au 0.000 0.000 4.466
```

Properties
Theoretical density   8.0 g/cm3
Symmetry   No. 119
Volume   17.677 Å³ per atom
E_tot   -29.50 eV per atom
Magnetic moment   2.60 μB/cell


[7]
Entry from Alexandria: a crystal of ReAs2Br relaxed with PBEsol (meta-GGA SCAN).

```
4
Lattice="4.898 0.000 0.000 0.000 4.898 0.000 0.000 0.000 2.879" Properties=species:S:1:pos:R:3 pbc="T T T"
Re 0.000 0.000 0.000
As 0.000 2.449 1.440
As 2.449 0.000 1.440
Br 2.449 2.449 0.000
```

Properties
Theoretical density   10.0 g/cm3
Symmetry   No. 123
ΔE_f (raw)   26.5 kcal/mol of atoms
Volume   17.266 Å³ per atom
E above lowest polymorph   0 meV per atom
Magnetic moment   0.00 μB/cell


[8]
Entry from Alexandria: a crystal of La3RuBr3 relaxed with PBEsol (meta-GGA SCAN).

```
28
Lattice="-5.985 5.985 5.985 5.985 -5.985 5.985 5.985 5.985 -5.985" Properties=species:S:1:pos:R:3 pbc="T T T"
La 1.671 1.496 -1.322
La 7.307 1.671 -1.496
La 1.496 -1.322 1.671
La 4.663 4.315 -1.496
La 4.315 1.496 1.322
La -1.322 1.671 1.496
La 4.315 -1.496 4.663
La 1.496 1.322 4.315
La 1.322 4.315 1.496
La 1.671 -1.496 7.307
La -1.496 7.307 1.671
La -1.496 4.663 4.315
Ru 4.489 1.496 -1.496
Ru 1.496 1.496 1.496
Ru 1.496 -1.496 4.489
Ru -1.496 4.489 1.496
Br 7.482 1.402 1.590
Br 7.482 -1.402 4.395
Br 4.395 7.482 -1.402
Br 4.583 1.590 4.489
Br 4.489 4.583 1.590
Br 1.590 7.482 1.402
Br 7.388 4.395 4.489
Br 1.590 4.489 4.583
Br 1.402 1.590 7.482
Br 4.489 7.388 4.395
Br -1.402 4.395 7.482
Br 4.395 4.489 7.388
```

Properties
Theoretical density   5.9 g/cm3
Symmetry   No. 214
ΔE_f (raw)   -35.4 kcal/mol of atoms
Volume   30.633 Å³ per atom
Magnetic moment   0.00 μB/cell


[9]
Entry from Alexandria: a crystal of CaAgAs2 relaxed with PBEsol (meta-GGA SCAN).

```
4
Lattice="3.758 0.000 0.000 0.000 3.758 0.000 0.000 0.000 5.816" Properties=species:S:1:pos:R:3 pbc="T T T"
Ca 0.000 0.000 0.000
Ag 1.879 1.879 1.935
As 0.000 0.000 2.940
As 1.879 1.879 4.574
```

Properties
Theoretical density   6.0 g/cm3
Symmetry   No. 99
Volume   20.538 Å³ per atom
E_tot   -20.58 eV per atom
Magnetic moment   0.00 μB/cell


[10]
Entry from Alexandria: a crystal of Rb3MgAl relaxed with PBEsol (meta-GGA SCAN).

```
5
Lattice="6.844 0.000 0.000 0.000 6.844 0.000 0.000 0.000 6.844" Properties=species:S:1:pos:R:3 pbc="T T T"
Rb 0.000 0.000 3.422
Rb 0.000 3.422 0.000
Rb 3.422 0.000 0.000
Mg 3.422 3.422 3.422
Al 0.000 0.000 0.000
```

Properties
Theoretical density   1.6 g/cm3
Symmetry   No. 221
Volume   64.111 Å³ per atom
E_tot   -14.45 eV per atom
Magnetic moment   0.00 μB/cell


[11]
Entry from Alexandria: a crystal of Sn2Sb2Au relaxed with PBEsol (meta-GGA SCAN).

```
5
Lattice="-2.050 2.050 8.052 2.050 -2.050 8.052 2.050 2.050 -8.052" Properties=species:S:1:pos:R:3 pbc="T T T"
Sn 0.000 0.000 1.445
Sn 0.000 0.000 14.660
Sb 2.050 0.000 4.026
Sb 0.000 2.050 4.026
Au 0.000 0.000 8.052
```

Properties
Theoretical density   8.3 g/cm3
Symmetry   No. 139
ΔE_f (raw)   7.1 kcal/mol of atoms
Volume   27.063 Å³ per atom
Magnetic moment   0.00 μB/cell


[12]
Entry from Alexandria: a crystal of Sr2CaTi3O9 relaxed with PBEsol (meta-GGA SCAN).

```
15
Lattice="3.882 0.000 0.000 0.000 3.882 0.000 0.000 0.000 11.641" Properties=species:S:1:pos:R:3 pbc="T T T"
Sr 0.000 0.000 1.956
Sr 0.000 0.000 9.684
Ca 0.000 0.000 5.820
Ti 1.941 1.941 0.000
Ti 1.941 1.941 3.910
Ti 1.941 1.941 7.730
O 0.000 1.941 0.000
O 0.000 1.941 3.929
O 0.000 1.941 7.712
O 1.941 0.000 0.000
O 1.941 0.000 3.929
O 1.941 0.000 7.712
O 1.941 1.941 1.953
O 1.941 1.941 5.820
O 1.941 1.941 9.687
```

Properties
Theoretical density   4.8 g/cm3
Symmetry   No. 123
ΔE_f (raw)   -79.3 kcal/mol of atoms
Volume   11.692 Å³ per atom
E above lowest polymorph   12 meV per atom
Magnetic moment   0.00 μB/cell